DFT (PBE) results for a geometry-optimized Cr2CuPd2 structure.

a = 7.367 Å, b = 7.367 Å, c = 2.629 Å
α = 90.00°, β = 90.00°, γ = 90.00°
Fractional positions:
1 Cr 0.170 0.330 0.000
2 Cr 0.330 0.830 0.000
3 Cr 0.670 0.170 0.000
4 Cr 0.830 0.670 0.000
5 Cu 0.000 0.000 0.500
6 Cu 0.500 0.500 0.500
7 Pd 0.128 0.628 0.500
8 Pd 0.372 0.128 0.500
9 Pd 0.628 0.872 0.500
10 Pd 0.872 0.372 0.500

Properties
Total DFT energy (no corrections)   -31.6 eV/f.u.
Density of states at the Fermi level   14.0 states/eV/cell

---

DFT (PBE) results for a geometry-optimized CrCu3Pd structure.

a = 4.630 Å, b = 4.630 Å, c = 4.630 Å
α = 90.00°, β = 90.00°, γ = 90.00°
Fractional positions:
1 Cr 0.000 0.000 0.000
2 Cu 0.000 0.500 0.500
3 Cu 0.500 0.000 0.500
4 Cu 0.500 0.500 0.000
5 Pd 0.500 0.500 0.500

Properties
Total DFT energy (no corrections)   -22.0 eV/f.u.
Polymorph energy (0 for the lowest one)   0.0 meV/atom
Density of states at the Fermi level   1.8 states/eV/cell

---

DFT (PBE) results for a geometry-optimized CrCu2Pd7 structure.

a = 8.646 Å, b = 8.646 Å, c = 2.717 Å
α = 90.00°, β = 90.00°, γ = 123.56°
Fractional positions:
1 Cr 0.000 0.000 0.000
2 Cu 0.334 0.666 0.500
3 Cu 0.666 0.334 0.500
4 Pd 0.125 0.308 0.500
5 Pd 0.194 0.806 0.000
6 Pd 0.308 0.125 0.500
7 Pd 0.500 0.500 0.500
8 Pd 0.692 0.875 0.500
9 Pd 0.806 0.194 0.000
10 Pd 0.875 0.692 0.500

Properties
Total DFT energy (no corrections)   -51.3 eV/f.u.
Density of states at the Fermi level   11.5 states/eV/cell

---

DFT (PBE) results for a geometry-optimized CrCuPd5 structure.

a = 6.903 Å, b = 6.903 Å, c = 5.120 Å
α = 99.55°, β = 99.55°, γ = 62.93°
Fractional positions:
1 Cr 0.000 0.500 0.000
2 Cr 0.500 0.000 0.500
3 Cu 0.243 0.757 0.750
4 Cu 0.757 0.243 0.250
5 Pd 0.093 0.280 0.507
6 Pd 0.122 0.878 0.250
7 Pd 0.280 0.093 0.007
8 Pd 0.346 0.437 0.340
9 Pd 0.437 0.346 0.840
10 Pd 0.563 0.654 0.160
11 Pd 0.654 0.563 0.660
12 Pd 0.720 0.907 0.993
13 Pd 0.878 0.122 0.750
14 Pd 0.907 0.720 0.493

Properties
Total DFT energy (no corrections)   -39.6 eV/f.u.
Polymorph energy (0 for the lowest one)   0.0 meV/atom
Density of states at the Fermi level   16.1 states/eV/cell